No. 1
Density functional theory data (PBE-GGA) for crystalline Cr2CuTe at its relaxed geometry.

The structure belongs to space group F-43m (No. 216); the cell edges are 6.354, 6.354 and 6.354 Å and the angles 90.00°, 90.00° and 90.00°. The distinct sites, in fractional coordinates, are Cr at (0.000, 0.000, 0.000), Cr at (0.250, 0.250, 0.250), Cu at (0.250, 0.250, 0.750) and Te at (0.000, 0.000, 0.500).

The raw formation energy is 0.42 eV per atom. The total energy comes out at -99.20 eV for the cell shown. For the magnetic moment, the calculation gives 0.18 μB/atom.


No. 2
Density functional theory data (PBE-GGA) for crystalline KIn2Rh at its relaxed geometry.

The structure belongs to space group Imm2 (No. 44); the cell edges are 3.155, 4.405 and 16.079 Å and the angles 90.00°, 90.00° and 90.00°. The distinct sites, in fractional coordinates, are K at (0.000, 0.000, 0.000), In at (0.000, 0.000, 0.338), In at (0.000, 0.500, 0.183) and Rh at (0.000, 0.500, 0.696).

Its energy of formation from the pure elements is -149 meV/atom. The total energy comes out at -29.04 eV for the cell shown. For the magnetic moment, the calculation gives 0.00 μB/atom.